Entry 1:
An optimized crystal structure of LiRhAu2. Source: Alexandria, functional PBEsol.

- crystal system = tetragonal
- space-group type = P4mm, No. 99
- E_form (eV per formula unit) = -0.089

Unit cell a=2.728 b=2.728 c=8.064 alpha=90.00 beta=90.00 gamma=90.00
Each line ends with the local moment (μB).
Sites, in units of the cell vectors:
1 Au 0.500 0.500 0.269  0.00
2 Au 0.000 0.000 0.989  0.02
3 Li 0.000 0.000 0.506  0.00
4 Rh 0.500 0.500 0.735  0.39

***

Entry 2:
An optimized crystal structure of CaBe3Os. Source: Alexandria, functional PBEsol.

- crystal system = cubic
- space-group type = Pm-3m, No. 221
- E_form (eV per formula unit) = 0.695

Unit cell a=4.299 b=4.299 c=4.299 alpha=90.00 beta=90.00 gamma=90.00
Sites, in units of the cell vectors:
1 Be 0.000 0.000 0.500
2 Be 0.500 0.000 0.000
3 Be 0.000 0.500 0.000
4 Os 0.000 0.000 0.000
5 Ca 0.500 0.500 0.500

***

Entry 3:
An optimized crystal structure of NiSb2Pb. Source: Alexandria, functional PBEsol.

- crystal system = orthorhombic
- space-group type = Pmmm, No. 47
- formation energy (no corrections) (eV per atom) = 0.409

Unit cell a=3.970 b=4.700 c=4.903 alpha=90.00 beta=90.00 gamma=90.00
Sites, in units of the cell vectors:
1 Pb 0.000 0.500 0.500
2 Sb 0.000 0.000 0.000
3 Sb 0.500 0.000 0.500
4 Ni 0.500 0.500 0.000

***

Entry 4:
An optimized crystal structure of Zr2Mn3. Source: Alexandria, functional PBEsol.

- crystal system = orthorhombic
- space-group type = Fdd2, No. 43
- E_form (eV per formula unit) = -0.261

Unit cell a=5.240 b=5.285 c=6.838 alpha=100.95 beta=112.53 gamma=60.28
Each line ends with the local moment (μB).
Sites, in units of the cell vectors:
1 Zr 0.738 0.831 0.599  -0.05
2 Zr 0.818 0.669 0.099  -0.05
3 Zr 0.389 0.331 0.901  -0.05
4 Zr 0.970 0.169 0.401  -0.05
5 Mn 0.346 0.500 0.500  -0.32
6 Mn 0.306 0.834 0.749  0.77
7 Mn 0.807 0.334 0.751  0.77
8 Mn 0.391 0.166 0.251  0.77
9 Mn 0.390 0.666 0.249  0.77
10 Mn 0.096 0.000 0.000  -0.32

***

Entry 5:
An optimized crystal structure of KAlIn2. Source: Alexandria, functional PBEsol.

- crystal system = monoclinic
- space-group type = C2/m, No. 12
- E_form (eV per formula unit) = 0.787

Unit cell a=3.041 b=6.356 c=6.356 alpha=117.08 beta=99.47 gamma=99.47
Sites, in units of the cell vectors:
1 In 0.000 0.500 0.000
2 In 0.000 0.000 0.500
3 K 0.500 0.000 0.000
4 Al 0.500 0.500 0.500

***

Entry 6:
An optimized crystal structure of Ga2POsRu. Source: Alexandria, functional PBEsol.

- crystal system = tetragonal
- space-group type = P4/mmm, No. 123
- E_form (eV per formula unit) = 5.509

Unit cell a=4.590 b=4.590 c=4.653 alpha=90.00 beta=90.00 gamma=90.00
Sites, in units of the cell vectors:
1 Ga 0.000 0.500 0.000
2 Ga 0.500 0.000 0.000
3 P 0.500 0.500 0.500
4 Ru 0.000 0.000 0.000
5 Os 0.000 0.000 0.500

***

Entry 7:
An optimized crystal structure of CaCd4Tc. Source: Alexandria, functional PBEsol.

- crystal system = cubic
- space-group type = F-43m, No. 216
- E_form (eV per formula unit) = 1.487

Unit cell a=5.589 b=5.589 c=5.589 alpha=60.00 beta=60.00 gamma=60.00
Each line ends with the local moment (μB).
Sites, in units of the cell vectors:
1 Cd 0.376 0.872 0.376  0.01
2 Cd 0.376 0.376 0.872  0.01
3 Cd 0.376 0.376 0.376  0.01
4 Cd 0.872 0.376 0.376  0.01
5 Tc 0.750 0.750 0.750  2.23
6 Ca 0.000 0.000 0.000  0.04

***

Entry 8:
An optimized crystal structure of Hf3Bi. Source: Alexandria, functional PBEsol.

- crystal system = tetragonal
- space-group type = I4/mmm, No. 139
- E_form (eV per formula unit) = -0.230

Unit cell a=4.338 b=4.338 c=5.590 alpha=112.83 beta=112.83 gamma=90.00
Sites, in units of the cell vectors:
1 Hf 0.750 0.250 0.500
2 Hf 0.250 0.750 0.500
3 Hf 0.500 0.500 0.000
4 Bi 0.000 0.000 0.000

***

Entry 9:
An optimized crystal structure of HfAlIO2. Source: Alexandria, functional PBEsol.

- crystal system = tetragonal
- space-group type = P4/mmm, No. 123
- formation energy (no corrections) (eV per atom) = -1.432

Unit cell a=4.102 b=4.102 c=5.843 alpha=90.00 beta=90.00 gamma=90.00
Sites, in units of the cell vectors:
1 Hf 0.000 0.000 0.000
2 I 0.000 0.000 0.500
3 O 0.500 0.000 0.000
4 O 0.000 0.500 0.000
5 Al 0.500 0.500 0.500

***

Entry 10:
An optimized crystal structure of Be2PdRuC. Source: Alexandria, functional PBEsol.

- crystal system = tetragonal
- space-group type = P4/mmm, No. 123
- E_form (eV per formula unit) = 2.738

Unit cell a=3.684 b=3.684 c=3.937 alpha=90.00 beta=90.00 gamma=90.00
Each line ends with the local moment (μB).
Sites, in units of the cell vectors:
1 Be 0.500 0.000 0.000  0.00
2 Be 0.000 0.500 0.000  0.00
3 Pd 0.000 0.000 0.500  0.06
4 Ru 0.500 0.500 0.500  0.57
5 C 0.000 0.000 0.000  0.04

***

Entry 11:
An optimized crystal structure of LiRh5. Source: Alexandria, functional PBEsol.

- crystal system = monoclinic
- space-group type = Cm, No. 8
- E_form (eV per formula unit) = -0.066

Unit cell a=2.665 b=4.998 c=6.375 alpha=103.28 beta=90.00 gamma=105.46
Sites, in units of the cell vectors:
1 Rh 0.055 0.110 0.616
2 Rh 0.663 0.326 0.329
3 Rh 0.387 0.775 0.279
4 Rh 0.329 0.658 0.664
5 Rh 0.730 0.461 0.950
6 Li 0.002 0.004 0.996

***

Entry 12:
An optimized crystal structure of CrHg2Os. Source: Alexandria, functional PBEsol.

- crystal system = monoclinic
- space-group type = P2/m, No. 10
- E_form (eV per formula unit) = 3.242

Unit cell a=2.830 b=4.788 c=5.030 alpha=90.00 beta=92.67 gamma=90.00
Each line ends with the local moment (μB).
Sites, in units of the cell vectors:
1 Cr 0.000 0.500 0.500  3.11
2 Os 0.500 0.500 0.000  -0.30
3 Hg 0.744 0.000 0.749  -0.01
4 Hg 0.256 0.000 0.251  -0.01

***

Respective final energy values: -4.5107 -5.1308 -4.4090 -9.5449 -2.6010 -5.8701 -2.7834 -9.0061 -6.8036 -6.2074 -7.1208 -5.0874 eV per atom.